(1)
DFT (PBE-GGA) results for a relaxed AlRe2MoBr crystal.

## Properties
crystal system: tetragonal
uncorrected formation energy: 1928 meV per atom

Lattice parameters (Å, degrees): 4.8234 4.8234 4.8432 90.00 90.00 90.00
Closest atoms and distances in Å follow each position.
Space group P4/mmm (No. 123)
Asymmetric unit:
Al 0.0000 0.0000 0.0000 [1 per cell]  4 Br 3.41, 8 Re 3.42
Re 0.0000 0.5000 0.5000 [2 per cell]  2 Mo 2.41
Mo 0.5000 0.5000 0.5000 [1 per cell]  4 Re 2.41, 2 Br 2.42
Br 0.5000 0.5000 0.0000 [1 per cell]  2 Mo 2.42

(2)
DFT (PBE-GGA) results for a relaxed AlMoSe2Br crystal.

## Properties
offset from the most stable computed form: 0 meV per atom
crystal system: tetragonal
uncorrected formation energy: 134 meV per atom

Lattice parameters (Å, degrees): 4.9027 4.9027 5.4428 90.00 90.00 90.00
Closest atoms and distances in Å follow each position.
Space group P4/mmm (No. 123)
Asymmetric unit:
Al 0.0000 0.0000 0.0000 [1 per cell]  4 Br 3.47, 8 Se 3.66
Mo 0.5000 0.5000 0.5000 [1 per cell]  4 Se 2.45, 2 Br 2.72
Se 0.0000 0.5000 0.5000 [2 per cell]  2 Mo 2.45
Br 0.5000 0.5000 0.0000 [1 per cell]  2 Mo 2.72

(3)
DFT (PBE-GGA) results for a relaxed AlMoSe2Br crystal.

## Properties
offset from the most stable computed form: 325 meV per atom
crystal system: tetragonal
uncorrected formation energy: 459 meV per atom

Lattice parameters (Å, degrees): 4.9810 4.9810 4.8304 90.00 90.00 90.00
Closest atoms and distances in Å follow each position.
Space group P4/mmm (No. 123)
Asymmetric unit:
Al 0.0000 0.0000 0.0000 [1 per cell]  2 Br 2.42, 4 Se 2.49
Mo 0.5000 0.5000 0.5000 [1 per cell]  8 Se 3.47, 4 Br 3.52
Se 0.0000 0.5000 0.0000 [2 per cell]  2 Al 2.49
Br 0.0000 0.0000 0.5000 [1 per cell]  2 Al 2.42

(4)
DFT (PBE-GGA) results for a relaxed AlMoSeBr2 crystal.

## Properties
offset from the most stable computed form: 0 meV per atom
crystal system: tetragonal
uncorrected formation energy: 108 meV per atom

Lattice parameters (Å, degrees): 5.3550 5.3550 4.9288 90.00 90.00 90.00
Closest atoms and distances in Å follow each position.
Space group P4/mmm (No. 123)
Asymmetric unit:
Al 0.0000 0.0000 0.0000 [1 per cell]  8 Br 3.64, 4 Se 3.79
Mo 0.5000 0.5000 0.5000 [1 per cell]  2 Se 2.46, 4 Br 2.68
Se 0.5000 0.5000 0.0000 [1 per cell]  2 Mo 2.46
Br 0.0000 0.5000 0.5000 [2 per cell]  2 Mo 2.68

(5)
DFT (PBE-GGA) results for a relaxed AlMoSeBr2 crystal.

## Properties
offset from the most stable computed form: 284 meV per atom
crystal system: tetragonal
uncorrected formation energy: 391 meV per atom

Lattice parameters (Å, degrees): 4.9792 4.9792 5.1645 90.00 90.00 90.00
Closest atoms and distances in Å follow each position.
Space group P4/mmm (No. 123)
Asymmetric unit:
Al 0.0000 0.0000 0.0000 [1 per cell]  4 Br 2.49, 2 Se 2.58
Mo 0.5000 0.5000 0.5000 [1 per cell]  4 Se 3.52, 8 Br 3.59
Se 0.0000 0.0000 0.5000 [1 per cell]  2 Al 2.58
Br 0.0000 0.5000 0.0000 [2 per cell]  2 Al 2.49

(6)
DFT (PBE-GGA) results for a relaxed Al2ZnMoBr crystal.

## Properties
offset from the most stable computed form: 198 meV per atom
crystal system: tetragonal
uncorrected formation energy: 1102 meV per atom

Lattice parameters (Å, degrees): 4.7277 4.7277 5.5284 90.00 90.00 90.00
Closest atoms and distances in Å follow each position.
Space group P4/mmm (No. 123)
Asymmetric unit:
Al 0.0000 0.5000 0.0000 [2 per cell]  2 Zn 2.36
Zn 0.0000 0.0000 0.0000 [1 per cell]  4 Al 2.36
Mo 0.5000 0.5000 0.5000 [1 per cell]  4 Br 3.34, 8 Al 3.64
Br 0.0000 0.0000 0.5000 [1 per cell]  2 Zn 2.76

(7)
DFT (PBE-GGA) results for a relaxed Al2ZnMoBr crystal.

## Properties
offset from the most stable computed form: 0 meV per atom
crystal system: tetragonal
uncorrected formation energy: 905 meV per atom

Lattice parameters (Å, degrees): 4.6361 4.6361 5.3679 90.00 90.00 90.00
Closest atoms and distances in Å follow each position.
Space group P4/mmm (No. 123)
Asymmetric unit:
Al 0.0000 0.5000 0.0000 [2 per cell]  2 Zn 2.32
Zn 0.0000 0.0000 0.0000 [1 per cell]  4 Al 2.32
Mo 0.0000 0.0000 0.5000 [1 per cell]  2 Zn 2.68
Br 0.5000 0.5000 0.5000 [1 per cell]  4 Mo 3.28, 8 Al 3.55

(8)
DFT (PBE-GGA) results for a relaxed ZrAlMo2Br crystal.

## Properties
crystal system: tetragonal
uncorrected formation energy: 1726 meV per atom

Lattice parameters (Å, degrees): 5.0295 5.0295 5.3679 90.00 90.00 90.00
Closest atoms and distances in Å follow each position.
Space group P4/mmm (No. 123)
Asymmetric unit:
Zr 0.0000 0.0000 0.0000 [1 per cell]  4 Mo 2.51, 2 Al 2.68
Al 0.0000 0.0000 0.5000 [1 per cell]  2 Zr 2.68
Mo 0.0000 0.5000 0.0000 [2 per cell]  2 Zr 2.51
Br 0.5000 0.5000 0.5000 [1 per cell]  4 Al 3.56, 8 Mo 3.68

(9)
DFT (PBE-GGA) results for a relaxed AlBr3N crystal.

## Properties
offset from the most stable computed form: 622 meV per atom
crystal system: cubic
uncorrected formation energy: 801 meV per atom

Lattice parameters (Å, degrees): 4.7812 4.7812 4.7812 90.00 90.00 90.00
Closest atoms and distances in Å follow each position.
Space group Pm-3m (No. 221)
Asymmetric unit:
Al 0.0000 0.0000 0.0000 [1 per cell]  12 Br 3.38
Br 0.0000 0.5000 0.5000 [3 per cell]  2 N 2.39
N 0.5000 0.5000 0.5000 [1 per cell]  6 Br 2.39

(10)
DFT (PBE-GGA) results for a relaxed AlBrN2 crystal.

## Properties
offset from the most stable computed form: 371 meV per atom
crystal system: tetragonal
uncorrected formation energy: 748 meV per atom

Lattice parameters (Å, degrees): 5.2597 5.2597 8.1498 90.00 90.00 90.00
Closest atoms and distances in Å follow each position.
Space group I-42d (No. 122)
Asymmetric unit:
Al 0.0000 0.0000 0.0000 [4 per cell]  4 N 1.88
Br 0.0000 0.0000 0.5000 [4 per cell]  4 N 2.42
N 0.1668 0.2500 0.1250 [8 per cell]  2 Al 1.88

(11)
DFT (PBE-GGA) results for a relaxed AlBrN3 crystal.

## Properties
crystal system: cubic
uncorrected formation energy: 1587 meV per atom

Lattice parameters (Å, degrees): 3.8320 3.8320 3.8320 90.00 90.00 90.00
Closest atoms and distances in Å follow each position.
Space group Pm-3m (No. 221)
Asymmetric unit:
Al 0.0000 0.0000 0.0000 [1 per cell]  6 N 1.92
Br 0.5000 0.5000 0.5000 [1 per cell]  12 N 2.71
N 0.0000 0.0000 0.5000 [3 per cell]  2 Al 1.92

(12)
DFT (PBE-GGA) results for a relaxed AlBrN3 crystal.

## Properties
crystal system: cubic
uncorrected formation energy: 2391 meV per atom

Lattice parameters (Å, degrees): 3.8234 3.8234 3.8234 90.00 90.00 90.00
Closest atoms and distances in Å follow each position.
Space group Pm-3m (No. 221)
Asymmetric unit:
Al 0.0000 0.0000 0.0000 [1 per cell]  12 N 2.70
Br 0.5000 0.5000 0.5000 [1 per cell]  6 N 1.91
N 0.0000 0.5000 0.5000 [3 per cell]  2 Br 1.91

(13)
DFT (PBE-GGA) results for a relaxed Al3BrN crystal.

## Properties
offset from the most stable computed form: 1551 meV per atom
crystal system: cubic
uncorrected formation energy: 1973 meV per atom

Lattice parameters (Å, degrees): 5.3199 5.3199 5.3199 90.00 90.00 90.00
Closest atoms and distances in Å follow each position.
Space group Pm-3m (No. 221)
Asymmetric unit:
Al 0.0000 0.0000 0.5000 [3 per cell]  2 Br 2.66
Br 0.0000 0.0000 0.0000 [1 per cell]  6 Al 2.66
N 0.5000 0.5000 0.5000 [1 per cell]  12 Al 3.76

(14)
DFT (PBE-GGA) results for a relaxed AlBrN2 crystal.

## Properties
offset from the most stable computed form: 0 meV per atom
crystal system: trigonal
uncorrected formation energy: 378 meV per atom

Lattice parameters (Å, degrees): 3.1096 3.1096 17.7959 90.00 90.00 120.00
Closest atoms and distances in Å follow each position.
Space group R-3m (No. 166, hexagonal axes)
Asymmetric unit:
Al 0.0000 0.0000 0.0000 [3 per cell]  6 N 2.04
Br 0.0000 0.0000 0.5000 [3 per cell]  2 N 1.99
N 0.0000 0.0000 0.3880 [6 per cell]  1 Br 1.99, 3 Al 2.04

(15)
DFT (PBE-GGA) results for a relaxed AlBr3N crystal.

## Properties
offset from the most stable computed form: 287 meV per atom
crystal system: cubic
uncorrected formation energy: 466 meV per atom

Lattice parameters (Å, degrees): 5.0832 5.0832 5.0832 90.00 90.00 90.00
Closest atoms and distances in Å follow each position.
Space group Pm-3m (No. 221)
Asymmetric unit:
Al 0.0000 0.0000 0.0000 [1 per cell]  6 Br 2.54
Br 0.0000 0.0000 0.5000 [3 per cell]  2 Al 2.54
N 0.5000 0.5000 0.5000 [1 per cell]  12 Br 3.59

(16)
DFT (PBE-GGA) results for a relaxed AlBr3N crystal.

## Properties
offset from the most stable computed form: 0 meV per atom
crystal system: triclinic
uncorrected formation energy: 179 meV per atom

Lattice parameters (Å, degrees): 6.8067 8.0464 8.2108 85.91 79.98 88.67
Closest atoms and distances in Å follow each position.
Space group P1 (No. 1)
Asymmetric unit:
Al 0.0000 0.0000 0.0000 [1 per cell]  3 Br 2.27-2.37
Al 0.4842 0.1702 0.0466 [1 per cell]  3 Br 2.27-2.37
Br 0.0233 0.7337 0.9239 [1 per cell]  1 Al 2.27
Br 0.2082 0.2124 0.8508 [1 per cell]  1 Al 2.37
Br 0.2759 0.9581 0.1959 [1 per cell]  1 Al 2.37
Br 0.4611 0.4366 0.1226 [1 per cell]  1 Al 2.27
Br 0.7191 0.0896 0.8162 [1 per cell]  1 Al 2.37
Br 0.7650 0.0806 0.2304 [1 per cell]  1 Al 2.37
N 0.5516 0.4112 0.5164 [1 per cell]  4 Br 3.39-3.77
N 0.9319 0.7580 0.5299 [1 per cell]  4 Br 3.39-3.78

(17)
DFT (PBE-GGA) results for a relaxed Al3BrN crystal.

## Properties
offset from the most stable computed form: 0 meV per atom
crystal system: cubic
uncorrected formation energy: 422 meV per atom

Lattice parameters (Å, degrees): 4.4523 4.4523 4.4523 90.00 90.00 90.00
Closest atoms and distances in Å follow each position.
Space group Pm-3m (No. 221)
Asymmetric unit:
Al 0.0000 0.0000 0.5000 [3 per cell]  2 N 2.23
Br 0.5000 0.5000 0.5000 [1 per cell]  12 Al 3.15
N 0.0000 0.0000 0.0000 [1 per cell]  6 Al 2.23

(18)
DFT (PBE-GGA) results for a relaxed AlBrN2 crystal.

## Properties
offset from the most stable computed form: 1174 meV per atom
crystal system: trigonal
uncorrected formation energy: 1551 meV per atom

Lattice parameters (Å, degrees): 3.3260 3.3260 18.0335 90.00 90.00 120.00
Closest atoms and distances in Å follow each position.
Space group R-3m (No. 166, hexagonal axes)
Asymmetric unit:
Al 0.0000 0.0000 0.0000 [3 per cell]  2 N 1.88
Br 0.0000 0.0000 0.5000 [3 per cell]  6 N 2.23
N 0.0000 0.0000 0.1043 [6 per cell]  1 Al 1.88

(19)
DFT (PBE-GGA) results for a relaxed AlBr4N2 crystal.

## Properties
crystal system: triclinic
uncorrected formation energy: 706 meV per atom

Lattice parameters (Å, degrees): 3.7398 7.0571 7.6235 75.73 85.13 78.65
Closest atoms and distances in Å follow each position.
Space group P-1 (No. 2)
Asymmetric unit:
Al 0.0000 0.0000 0.0000 [1 per cell]  6 Br 2.52-2.63
Br 0.0610 0.7080 0.2925 [2 per cell]  1 N 1.79
Br 0.4047 0.1590 0.1454 [2 per cell]  2 Al 2.52-2.58
N 0.2816 0.4359 0.7092 [2 per cell]  1 Br 1.79

(20)
DFT (PBE-GGA) results for a relaxed Nb2AlBrN crystal.

## Properties
crystal system: tetragonal
uncorrected formation energy: 1589 meV per atom

Lattice parameters (Å, degrees): 4.9035 4.9035 3.7854 90.00 90.00 90.00
Closest atoms and distances in Å follow each position.
Space group P4/mmm (No. 123)
Asymmetric unit:
Nb 0.0000 0.5000 0.0000 [2 per cell]  2 Br 2.45
Al 0.0000 0.0000 0.5000 [1 per cell]  8 Nb 3.10, 4 N 3.47
Br 0.5000 0.5000 0.0000 [1 per cell]  2 N 1.89
N 0.5000 0.5000 0.5000 [1 per cell]  2 Br 1.89

(21)
DFT (PBE-GGA) results for a relaxed Rb2AlBr6N crystal.

## Properties
crystal system: tetragonal
uncorrected formation energy: -596 meV per atom

Lattice parameters (Å, degrees): 7.2497 7.2497 11.5654 90.00 90.00 90.00
Closest atoms and distances in Å follow each position.
Space group I4/mmm (No. 139)
Asymmetric unit:
Rb 0.0000 0.5000 0.2500 [4 per cell]  12 Br 3.65-3.86
Al 0.0000 0.0000 0.0000 [2 per cell]  6 Br 2.48-2.59
Br 0.0000 0.0000 0.2140 [4 per cell]  1 Al 2.48
Br 0.2476 0.2476 0.5000 [8 per cell]  1 N 2.54, 1 Al 2.59
N 0.0000 0.0000 0.5000 [2 per cell]  4 Br 2.54

(22)
DFT (PBE-GGA) results for a relaxed AlRhBrN2 crystal.

## Properties
crystal system: tetragonal
uncorrected formation energy: 2045 meV per atom

Lattice parameters (Å, degrees): 3.9418 3.9418 4.9322 90.00 90.00 90.00
Closest atoms and distances in Å follow each position.
Space group P4/mmm (No. 123)
Asymmetric unit:
Al 0.0000 0.0000 0.0000 [1 per cell]  4 Rh 2.79
Rh 0.5000 0.5000 0.0000 [1 per cell]  2 Br 2.47
Br 0.5000 0.5000 0.5000 [1 per cell]  4 N 1.97
N 0.0000 0.5000 0.5000 [2 per cell]  2 Br 1.97

(23)
DFT (PBE-GGA) results for a relaxed AlS2BrN crystal.

## Properties
offset from the most stable computed form: 830 meV per atom
crystal system: tetragonal
uncorrected formation energy: 1445 meV per atom

Lattice parameters (Å, degrees): 5.0182 5.0182 3.7061 90.00 90.00 90.00
Closest atoms and distances in Å follow each position.
Space group P4/mmm (No. 123)
Asymmetric unit:
Al 0.0000 0.0000 0.0000 [1 per cell]  8 S 3.12
S 0.0000 0.5000 0.5000 [2 per cell]  2 Br 2.51
Br 0.5000 0.5000 0.5000 [1 per cell]  2 N 1.85
N 0.5000 0.5000 0.0000 [1 per cell]  2 Br 1.85

(24)
DFT (PBE-GGA) results for a relaxed AlS2BrN crystal.

## Properties
offset from the most stable computed form: 0 meV per atom
crystal system: tetragonal
uncorrected formation energy: 615 meV per atom

Lattice parameters (Å, degrees): 4.8956 4.8956 3.6136 90.00 90.00 90.00
Closest atoms and distances in Å follow each position.
Space group P4/mmm (No. 123)
Asymmetric unit:
Al 0.0000 0.0000 0.0000 [1 per cell]  2 N 1.81
S 0.0000 0.5000 0.0000 [2 per cell]  2 Al 2.45
Br 0.5000 0.5000 0.5000 [1 per cell]  8 S 3.04
N 0.0000 0.0000 0.5000 [1 per cell]  2 Al 1.81

(25)
DFT (PBE-GGA) results for a relaxed AlSBr3N crystal.

## Properties
crystal system: monoclinic
uncorrected formation energy: -599 meV per atom

Lattice parameters (Å, degrees): 7.5165 11.0329 10.4364 90.00 112.39 90.00
Closest atoms and distances in Å follow each position.
Space group P2_1/c (No. 14)
Asymmetric unit:
Al 0.2286 0.1187 0.3451 [4 per cell]  1 N 1.96
S 0.1380 0.5268 0.1073 [4 per cell]  2 N 1.66-1.67
Br 0.0622 0.6477 0.3408 [4 per cell]  1 Al 2.33
Br 0.3689 0.2047 0.9447 [4 per cell]  1 Al 2.27
Br 0.4170 0.5236 0.7950 [4 per cell]  1 Al 2.30
N 0.1001 0.0400 0.4550 [4 per cell]  2 S 1.66-1.67

(26)
DFT (PBE-GGA) results for a relaxed AlSe2BrN crystal.

## Properties
offset from the most stable computed form: 879 meV per atom
crystal system: tetragonal
uncorrected formation energy: 1361 meV per atom

Lattice parameters (Å, degrees): 5.2911 5.2911 3.8698 90.00 90.00 90.00
Closest atoms and distances in Å follow each position.
Space group P4/mmm (No. 123)
Asymmetric unit:
Al 0.0000 0.0000 0.0000 [1 per cell]  8 Se 3.28
Se 0.0000 0.5000 0.5000 [2 per cell]  2 Br 2.65
Br 0.5000 0.5000 0.5000 [1 per cell]  2 N 1.93
N 0.5000 0.5000 0.0000 [1 per cell]  2 Br 1.93

(27)
DFT (PBE-GGA) results for a relaxed AlSeBrN2 crystal.

## Properties
offset from the most stable computed form: 439 meV per atom
crystal system: tetragonal
uncorrected formation energy: 1308 meV per atom

Lattice parameters (Å, degrees): 3.8621 3.8621 5.6266 90.00 90.00 90.00
Closest atoms and distances in Å follow each position.
Space group P4/mmm (No. 123)
Asymmetric unit:
Al 0.0000 0.0000 0.0000 [1 per cell]  4 Br 2.73, 2 Se 2.81
Se 0.0000 0.0000 0.5000 [1 per cell]  4 N 1.93
Br 0.5000 0.5000 0.0000 [1 per cell]  4 Al 2.73
N 0.0000 0.5000 0.5000 [2 per cell]  2 Se 1.93